Entry from Alexandria: crystalline Ca6Tl8Pb at its relaxed geometry (PBE-GGA).

a b c (Å): 8.430 8.430 8.430
angles (deg): 65.89 65.89 65.89
Sites, in units of the cell vectors:
Ca 0.117 0.385 0.675
Ca 0.325 0.883 0.615
Ca 0.615 0.325 0.883
Ca 0.385 0.675 0.117
Ca 0.675 0.117 0.385
Ca 0.883 0.615 0.325
Tl 0.174 0.562 0.921
Tl 0.079 0.826 0.438
Tl 0.438 0.079 0.826
Tl 0.714 0.714 0.714
Tl 0.286 0.286 0.286
Tl 0.562 0.921 0.174
Tl 0.921 0.174 0.562
Tl 0.826 0.438 0.079
Pb 0.000 0.000 0.000

Output
Crystal system: trigonal
Raw total energy, eV/atom: -2.566
Space group: No. 148